# 1
10
Lattice="9.4580 0.0104 0.0100 4.7379 8.1846 0.0137 4.7469 2.7407 5.3617" Properties=species:S:1:pos:R:3 comment="Cs2TaBr6Cl PBE optimized geometry" volume_a3_per_atom=41.4 e_form_raw_ev_per_atom=-1.28 pbc="T T T"
Ta 4.7331 2.7325 0.2832
Br 3.4855 1.0788 1.7568
Br 3.9227 4.6514 1.7425
Br 10.7281 7.1270 4.1714
Br 6.7985 2.4862 1.7483
Br 10.2923 3.5550 4.1854
Br 7.4147 5.7185 4.1809
Cs 4.7427 2.7437 5.1086
Cs 9.4601 5.4574 0.8225
Cl 14.2087 8.2016 2.9775

---

# 2
10
Lattice="8.3225 0.0000 0.0000 0.0000 8.3225 0.0000 4.1613 4.1613 5.8883" Properties=species:S:1:pos:R:3 comment="Cs2TaBr6Cl PBE optimized geometry" volume_a3_per_atom=40.8 e_form_raw_ev_per_atom=-1.20 pbc="T T T"
Cl 4.1613 4.1613 0.0000
Cs 4.1613 8.3225 2.9441
Cs 8.3225 4.1613 2.9441
Br 6.5199 1.8026 0.0000
Br 1.8026 6.5199 0.0000
Br 8.3225 8.3225 2.5493
Br 1.8026 1.8026 0.0000
Br 4.1613 4.1613 3.3390
Br 6.5199 6.5199 0.0000
Ta 0.0000 0.0000 0.0000

---

# 3
9
Lattice="7.7894 -0.0693 -0.1006 -3.7596 6.8224 0.1006 -3.7596 -2.3355 6.4110" Properties=species:S:1:pos:R:3 comment="Cs2TaBr5Cl PBE optimized geometry" volume_a3_per_atom=37.5 e_form_raw_ev_per_atom=-1.39 pbc="T T T"
Cl -5.8447 3.4878 5.0615
Br -1.7617 1.0513 1.5257
Br -1.6014 3.3947 4.9265
Br -3.7480 -0.2025 4.9265
Br 1.8948 1.0091 1.4645
Br -3.7480 4.6757 1.5651
Cs 0.1460 4.4918 1.6185
Cs 0.1460 -0.0871 4.7737
Ta -7.5001 4.4756 6.4951

---

# 4
10
Lattice="11.7248 0.7678 1.4491 6.5646 7.9547 1.9459 7.1357 3.9234 6.1057" Properties=species:S:1:pos:R:3 comment="Cs2TaBrCl6 PBE optimized geometry" volume_a3_per_atom=41.5 e_form_raw_ev_per_atom=-1.58 pbc="T T T"
Cl 7.9630 2.8563 2.9209
Cl 11.4732 6.9868 5.9615
Cl 4.6155 2.5993 3.1607
Cl 5.9976 5.2902 1.7759
Cl 6.3040 0.6291 1.0001
Cl 14.8212 7.2434 5.7214
Br 18.8635 9.2830 6.1362
Cs 18.0021 5.7963 6.9629
Cs 13.1542 4.8154 3.3679
Ta 6.1502 2.9598 1.3883

---

# 5
9
Lattice="-6.0989 1.0735 -2.6780 -2.2848 -1.3159 7.1760 -0.1970 5.6050 5.1954" Properties=species:S:1:pos:R:3 comment="Cs2TcBr4Cl2 PBE optimized geometry" volume_a3_per_atom=37.0 e_form_raw_ev_per_atom=-1.17 pbc="T T T"
Cs -3.2995 3.1112 7.3936
Cs -5.2812 2.2514 2.2999
Cl -2.2438 0.9232 0.8607
Cl -6.3368 4.4394 8.8327
Br -5.3627 5.1118 4.8322
Br -6.4487 1.5119 5.8624
Br -2.1320 3.8507 3.8310
Br -3.2180 0.2508 4.8613
Tc -3.0494 0.5367 -1.3390

---

# 6
9
Lattice="7.0160 0.0397 0.0270 1.4864 7.2530 0.3208 1.4864 2.9615 6.6286" Properties=species:S:1:pos:R:3 comment="Cs2TcBr2Cl4 PBE optimized geometry" volume_a3_per_atom=36.7 e_form_raw_ev_per_atom=-1.27 pbc="T T T"
Cl 3.4741 5.7488 1.3375
Cl 3.4741 3.3549 4.8562
Cl 6.5147 4.5054 5.6389
Cl 6.5147 6.8994 2.1203
Tc 3.5080 0.0199 0.0135
Cs 5.9320 3.1922 2.1718
Cs 4.0568 7.0620 4.8046
Br 2.4415 1.9411 1.3206
Br 7.5473 8.3132 5.6558

---

The following total energy values (in eV/atom) correspond, in order, to the records above: -3.820, -3.745, -4.030, -4.215, -3.668, -3.806.